P | # Sc2TlPb2, optimized geometry, DFT PBE-GGA
data_Sc2TlPb2
_chemical_formula_sum 'Sc2 Tl1 Pb2'
_space_group_name_H-M_alt 'P 1'
_space_group_IT_number 1
_space_group_name_Hall 'P 1'
_cell_length_a 6.953
_cell_length_b 6.953
_cell_length_c 6.953
_cell_angle_alpha 136.74
_cell_angle_beta 136.74
_cell_angle_gamma 62.84
loop_
_atom_site_label
_atom_site_fract_x
_atom_site_fract_y
_atom_site_fract_z
Sc1 0.250 0.750 0.500
Sc2 0.750 0.250 0.500
Tl1 0.000 0.000 0.000
Pb1 0.375 0.375 0.000
Pb2 0.625 0.625 0.000
# Crystal system = tetragonal

Q | # Sc2TlPb2, optimized geometry, DFT PBE-GGA
data_Sc2TlPb2
_chemical_formula_sum 'Sc4 Tl2 Pb4'
_space_group_name_H-M_alt 'P 1'
_space_group_IT_number 1
_space_group_name_Hall 'P 1'
_cell_length_a 8.940
_cell_length_b 8.940
_cell_length_c 3.374
_cell_angle_alpha 90.00
_cell_angle_beta 90.00
_cell_angle_gamma 90.00
loop_
_atom_site_label
_atom_site_fract_x
_atom_site_fract_y
_atom_site_fract_z
Sc1 0.138 0.362 0.000
Sc2 0.362 0.862 0.000
Sc3 0.638 0.138 0.000
Sc4 0.862 0.638 0.000
Tl1 0.000 0.000 0.500
Tl2 0.500 0.500 0.500
Pb1 0.159 0.659 0.500
Pb2 0.341 0.159 0.500
Pb3 0.659 0.841 0.500
Pb4 0.841 0.341 0.500
# Crystal system = tetragonal

Energies, relative to the best one, in kJ/mol of atoms: P 18.9; Q 0.0.

P | # Tm5Sc2Pb5, optimized geometry, DFT PBE-GGA
data_Tm5Sc2Pb5
_chemical_formula_sum 'Tm5 Sc2 Pb5'
_space_group_name_H-M_alt 'P 1'
_space_group_IT_number 1
_space_group_name_Hall 'P 1'
_cell_length_a 6.723
_cell_length_b 6.723
_cell_length_c 12.793
_cell_angle_alpha 114.38
_cell_angle_beta 114.38
_cell_angle_gamma 40.89
loop_
_atom_site_label
_atom_site_fract_x
_atom_site_fract_y
_atom_site_fract_z
Tm1 0.000 0.000 0.000
Tm2 0.158 0.158 0.512
Tm3 0.176 0.176 0.795
Tm4 0.824 0.824 0.205
Tm5 0.842 0.842 0.488
Sc1 0.444 0.444 0.711
Sc2 0.556 0.556 0.289
Pb1 0.198 0.198 0.282
Pb2 0.364 0.364 0.056
Pb3 0.500 0.500 0.500
Pb4 0.636 0.636 0.944
Pb5 0.802 0.802 0.718
# Crystal system = monoclinic

Q | # Tm5Sc2Pb5, optimized geometry, DFT PBE-GGA
data_Tm5Sc2Pb5
_chemical_formula_sum 'Tm5 Sc2 Pb5'
_space_group_name_H-M_alt 'P 1'
_space_group_IT_number 1
_space_group_name_Hall 'P 1'
_cell_length_a 8.611
_cell_length_b 8.611
_cell_length_c 10.279
_cell_angle_alpha 125.06
_cell_angle_beta 125.06
_cell_angle_gamma 32.40
loop_
_atom_site_label
_atom_site_fract_x
_atom_site_fract_y
_atom_site_fract_z
Tm1 0.000 0.000 0.000
Tm2 0.080 0.080 0.747
Tm3 0.189 0.189 0.544
Tm4 0.811 0.811 0.456
Tm5 0.920 0.920 0.253
Sc1 0.345 0.345 0.983
Sc2 0.655 0.655 0.017
Pb1 0.259 0.259 0.195
Pb2 0.426 0.426 0.740
Pb3 0.500 0.500 0.500
Pb4 0.574 0.574 0.260
Pb5 0.741 0.741 0.805
# Crystal system = monoclinic

Energies, relative to the best one, in kJ/mol of atoms: P 5.0; Q 0.0.

P | # TmSc2Pb, optimized geometry, DFT PBE-GGA
data_TmSc2Pb
_chemical_formula_sum 'Tm1 Sc2 Pb1'
_space_group_name_H-M_alt 'P 1'
_space_group_IT_number 1
_space_group_name_Hall 'P 1'
_cell_length_a 5.220
_cell_length_b 5.220
_cell_length_c 5.220
_cell_angle_alpha 60.00
_cell_angle_beta 60.00
_cell_angle_gamma 60.00
loop_
_atom_site_label
_atom_site_fract_x
_atom_site_fract_y
_atom_site_fract_z
Tm1 0.000 0.000 0.000
Sc1 0.250 0.250 0.250
Sc2 0.500 0.500 0.500
Pb1 0.750 0.750 0.750
# Crystal system = cubic

Q | # TmSc2Pb, optimized geometry, DFT PBE-GGA
data_TmSc2Pb
_chemical_formula_sum 'Tm1 Sc2 Pb1'
_space_group_name_H-M_alt 'P 1'
_space_group_IT_number 1
_space_group_name_Hall 'P 1'
_cell_length_a 4.647
_cell_length_b 4.647
_cell_length_c 4.656
_cell_angle_alpha 90.00
_cell_angle_beta 90.00
_cell_angle_gamma 90.00
loop_
_atom_site_label
_atom_site_fract_x
_atom_site_fract_y
_atom_site_fract_z
Tm1 0.000 0.000 0.000
Sc1 0.000 0.500 0.500
Sc2 0.500 0.000 0.500
Pb1 0.500 0.500 0.000
# Crystal system = tetragonal

Energies, relative to the best one, in kJ/mol of atoms: P 16.5; Q 0.0.

P | # TmSc2Pb, optimized geometry, DFT PBE-GGA
data_TmSc2Pb
_chemical_formula_sum 'Tm1 Sc2 Pb1'
_space_group_name_H-M_alt 'P 1'
_space_group_IT_number 1
_space_group_name_Hall 'P 1'
_cell_length_a 3.547
_cell_length_b 3.547
_cell_length_c 8.270
_cell_angle_alpha 90.00
_cell_angle_beta 90.00
_cell_angle_gamma 90.00
loop_
_atom_site_label
_atom_site_fract_x
_atom_site_fract_y
_atom_site_fract_z
Tm1 0.000 0.000 0.000
Sc1 0.500 0.500 0.263
Sc2 0.500 0.500 0.737
Pb1 0.000 0.000 0.500
# Crystal system = tetragonal

Q | # TmSc2Pb, optimized geometry, DFT PBE-GGA
data_TmSc2Pb
_chemical_formula_sum 'Tm2 Sc4 Pb2'
_space_group_name_H-M_alt 'P 1'
_space_group_IT_number 1
_space_group_name_Hall 'P 1'
_cell_length_a 6.284
_cell_length_b 6.284
_cell_length_c 8.781
_cell_angle_alpha 90.00
_cell_angle_beta 90.00
_cell_angle_gamma 141.86
loop_
_atom_site_label
_atom_site_fract_x
_atom_site_fract_y
_atom_site_fract_z
Tm1 0.050 0.950 0.750
Tm2 0.950 0.050 0.250
Sc1 0.369 0.631 0.553
Sc2 0.369 0.631 0.947
Sc3 0.631 0.369 0.053
Sc4 0.631 0.369 0.447
Pb1 0.242 0.758 0.250
Pb2 0.758 0.242 0.750
# Crystal system = orthorhombic

R | # TmSc2Pb, optimized geometry, DFT PBE-GGA
data_TmSc2Pb
_chemical_formula_sum 'Tm2 Sc4 Pb2'
_space_group_name_H-M_alt 'P 1'
_space_group_IT_number 1
_space_group_name_Hall 'P 1'
_cell_length_a 4.414
_cell_length_b 4.491
_cell_length_c 10.850
_cell_angle_alpha 90.00
_cell_angle_beta 101.73
_cell_angle_gamma 90.00
loop_
_atom_site_label
_atom_site_fract_x
_atom_site_fract_y
_atom_site_fract_z
Tm1 0.188 0.250 0.376
Tm2 0.812 0.750 0.624
Sc1 0.054 0.750 0.109
Sc2 0.440 0.750 0.881
Sc3 0.560 0.250 0.119
Sc4 0.946 0.250 0.891
Pb1 0.337 0.250 0.674
Pb2 0.663 0.750 0.326
# Crystal system = monoclinic

Energies, relative to the best one, in kJ/mol of atoms: P 15.3; Q 8.3; R 0.0.